# 1
The following is a PBEsol calculation of a geometry-optimized KYTe2 structure, from Alexandria.

abc: 7.6045 7.6045 7.6045
angles: 114.37 114.37 100.07
Fractional coordinates of all 8 atoms:
K 0.0000 0.0000 0.0000
K 0.7500 0.2500 0.5000
Y 0.2500 0.7500 0.5000
Y 0.5000 0.5000 0.0000
Te 0.1731 0.6250 0.0481
Te 0.3750 0.4231 0.5481
Te 0.5769 0.1250 0.9519
Te 0.8750 0.8269 0.4519

Summary:
E_form (uncorrected)	-1.11	eV per atom
space group	I-42d, No. 122
size of the total moment	0.00	μB/cell
Fermi-level density of states	0.00	states/eV/cell

=====

# 2
The following is a PBEsol calculation of a geometry-optimized KYTe2 structure, from Alexandria.

abc: 8.5014 8.5014 8.5014
angles: 30.12 30.12 30.12
Fractional coordinates of all 4 atoms:
K 0.0000 0.0000 0.0000
Y 0.5000 0.5000 0.5000
Te 0.2368 0.2368 0.2368
Te 0.7632 0.7632 0.7632

Summary:
E_form (uncorrected)	-1.40	eV per atom
space group	R-3m, No. 166
size of the total moment	0.00	μB/cell

=====

# 3
The following is a PBEsol calculation of a geometry-optimized KY2Te structure, from Alexandria.

abc: 6.4935 6.4935 6.4935
angles: 138.33 138.33 60.40
Fractional coordinates of all 4 atoms:
K 0.0000 0.0000 0.0000
Y 0.2500 0.7500 0.5000
Y 0.5000 0.5000 0.0000
Te 0.7500 0.2500 0.5000

Summary:
E_form (uncorrected)	-0.12	eV per atom
space group	I-4m2, No. 119
size of the total moment	0.00	μB/cell
Fermi-level density of states	3.29	states/eV/cell

=====

# 4
The following is a PBEsol calculation of a geometry-optimized KY2Te structure, from Alexandria.

abc: 3.8531 5.1550 6.8986
angles: 90.00 104.06 90.00
Fractional coordinates of all 4 atoms:
K 0.0000 0.0000 0.0000
Y 0.3430 0.5000 0.7056
Y 0.6570 0.5000 0.2944
Te 0.5000 0.0000 0.5000

Summary:
E_form (uncorrected)	-0.19	eV per atom
space group	P2/m, No. 10
size of the total moment	0.00	μB/cell
Fermi-level density of states	4.57	states/eV/cell

=====

# 5
The following is a PBEsol calculation of a geometry-optimized K2ZnTe structure, from Alexandria.

abc: 6.7960 6.7960 5.3554
angles: 113.08 113.08 36.46
Fractional coordinates of all 4 atoms:
K 0.0000 0.0000 0.0000
K 0.1977 0.1977 0.6968
Zn 0.7654 0.7654 0.2644
Te 0.4303 0.4303 0.4307

Summary:
distance to the lowest polymorph of the same formula	0.0	meV per atom
E_form (uncorrected)	-0.44	eV per atom
space group	Cm, No. 8
size of the total moment	0.00	μB/cell
Fermi-level density of states	0.02	states/eV/cell

=====

# 6
The following is a PBEsol calculation of a geometry-optimized KZnTe structure, from Alexandria.

abc: 4.7955 4.7955 4.8032
angles: 90.00 90.00 120.00
Fractional coordinates of all 3 atoms:
K 0.0000 0.0000 0.0000
Zn 0.6667 0.3333 0.4977
Te 0.3333 0.6667 0.5008

Summary:
E_form (uncorrected)	-0.35	eV per atom
space group	P3m1, No. 156
size of the total moment	0.00	μB/cell
Fermi-level density of states	2.14	states/eV/cell

=====

# 7
The following is a PBEsol calculation of a geometry-optimized KZnTe4 structure, from Alexandria.

abc: 6.4240 6.4240 6.4240
angles: 60.00 60.00 60.00
Fractional coordinates of all 6 atoms:
K 0.0000 0.0000 0.0000
Zn 0.2500 0.2500 0.2500
Te 0.1278 0.6241 0.6241
Te 0.6241 0.1278 0.6241
Te 0.6241 0.6241 0.1278
Te 0.6241 0.6241 0.6241

Summary:
E_form (uncorrected)	-0.01	eV per atom
space group	F-43m, No. 216
size of the total moment	0.00	μB/cell
Fermi-level density of states	3.99	states/eV/cell

=====

# 8
The following is a PBEsol calculation of a geometry-optimized K2ZnTe structure, from Alexandria.

abc: 5.3841 5.3841 4.5686
angles: 90.00 90.00 90.00
Fractional coordinates of all 4 atoms:
K 0.0000 0.5000 0.0000
K 0.5000 0.0000 0.0000
Zn 0.0000 0.0000 0.5000
Te 0.5000 0.5000 0.5000

Summary:
distance to the lowest polymorph of the same formula	47.9	meV per atom
E_form (uncorrected)	-0.39	eV per atom
space group	P4/mmm, No. 123
size of the total moment	0.00	μB/cell
Fermi-level density of states	0.46	states/eV/cell

=====

For the records above, the corresponding final energy values read -4.865 -5.147 -4.693 -4.771 -2.284 -2.426 -2.812 -2.236 eV per atom.